No. 1
Compound: Nd5TlBi2
Source: Alexandria via LeMat-Bulk
Functional: PBE
Structure: relaxed

Cell: 6.7118 6.7118 15.0635 Å, 90.00 90.00 126.47°
With the nearest neighbours (Å) after each atom.
Positions (direct):
Nd 0.0772 0.9228 0.6027  2 Bi 3.27-3.56, 1 Tl 3.45, 1 Nd 3.60
Nd 0.0772 0.9228 0.8973  2 Bi 3.27-3.56, 1 Tl 3.45, 1 Nd 3.60
Nd 0.3774 0.6226 0.5483  1 Tl 3.19, 3 Bi 3.28-3.30, 1 Nd 3.28
Nd 0.3774 0.6226 0.9517  1 Tl 3.19, 3 Bi 3.28-3.30, 1 Nd 3.28
Nd 0.4092 0.5908 0.2500  2 Bi 3.28, 1 Tl 3.52
Nd 0.5908 0.4092 0.7500  2 Bi 3.28, 1 Tl 3.52
Nd 0.6226 0.3774 0.0483  1 Tl 3.19, 3 Bi 3.28-3.30, 1 Nd 3.28
Nd 0.6226 0.3774 0.4517  1 Tl 3.19, 3 Bi 3.28-3.30, 1 Nd 3.28
Nd 0.9228 0.0772 0.1027  2 Bi 3.27-3.56, 1 Tl 3.45, 1 Nd 3.60
Nd 0.9228 0.0772 0.3973  2 Bi 3.27-3.56, 1 Tl 3.45, 1 Nd 3.60
Tl 0.2972 0.7028 0.7500  5 Nd 3.19-3.52
Tl 0.7028 0.2972 0.2500  5 Nd 3.19-3.52
Bi 0.1955 0.8045 0.1140  6 Nd 3.27-3.56, 2 Tl 3.65
Bi 0.1955 0.8045 0.3860  6 Nd 3.27-3.56, 2 Tl 3.65
Bi 0.8045 0.1955 0.6140  6 Nd 3.27-3.56, 2 Tl 3.65
Bi 0.8045 0.1955 0.8860  6 Nd 3.27-3.56, 2 Tl 3.65

Output
symmetry	Cmcm
total DFT energy (no corrections)	-36.42	eV/f.u.

No. 2
Compound: TaIrCl
Source: Alexandria via LeMat-Bulk
Functional: PBE
Structure: relaxed

Cell: 4.3232 4.3232 2.9698 Å, 90.00 90.00 120.00°
With the nearest neighbours (Å) after each atom.
Positions (direct):
Ta 0.0000 0.0000 0.0000  3 Cl 2.50
Ir 0.3333 0.6667 0.5000  6 Ta 2.90, 6 Cl 2.90, 2 Ir 2.97
Cl 0.6667 0.3333 0.0000  3 Ta 2.50

Output
symmetry	P-6m2
ΔE_f (raw)	90	meV per atom

No. 3
Compound: Ac3PmNd3Te8
Source: Alexandria via LeMat-Bulk
Functional: PBE
Structure: relaxed

Cell: 9.2562 9.2562 9.2562 Å, 59.01 59.01 59.01°
With the nearest neighbours (Å) after each atom.
Positions (direct):
Ac 0.0000 0.5000 0.5000  6 Te 3.31
Ac 0.5000 0.0000 0.5000  6 Te 3.31
Ac 0.5000 0.5000 0.0000  6 Te 3.31
Pm 0.5000 0.5000 0.5000  6 Te 3.24
Nd 0.0000 0.0000 0.5000  6 Te 3.19
Nd 0.0000 0.5000 0.0000  6 Te 3.19
Nd 0.5000 0.0000 0.0000  6 Te 3.19
Te 0.2413 0.7493 0.7493  2 Nd 3.19, 1 Pm 3.24, 2 Ac 3.31
Te 0.2452 0.2452 0.2452  3 Nd 3.19, 3 Ac 3.31
Te 0.2507 0.2507 0.7587  2 Nd 3.19, 1 Pm 3.24, 2 Ac 3.31
Te 0.2507 0.7587 0.2507  2 Nd 3.19, 1 Pm 3.24, 2 Ac 3.31
Te 0.7493 0.2413 0.7493  2 Nd 3.19, 1 Pm 3.24, 2 Ac 3.31
Te 0.7493 0.7493 0.2413  2 Nd 3.19, 1 Pm 3.24, 2 Ac 3.31
Te 0.7548 0.7548 0.7548  3 Nd 3.19, 3 Ac 3.31
Te 0.7587 0.2507 0.2507  2 Nd 3.19, 1 Pm 3.24, 2 Ac 3.31

Output
symmetry	R-3m
ΔE_f (raw)	-1485	meV per atom

No. 4
Compound: La2UN3
Source: Alexandria via LeMat-Bulk
Functional: PBE
Structure: relaxed

Cell: 6.1833 6.1833 6.3232 Å, 90.07 90.07 65.21°
With the nearest neighbours (Å) after each atom.
Positions (direct):
La 0.0103 0.3323 0.2497  3 N 2.40-2.64
La 0.3323 0.0103 0.7497  3 N 2.40-2.64
La 0.6677 0.9897 0.2503  3 N 2.40-2.64
La 0.9897 0.6677 0.7503  3 N 2.40-2.64
U 0.3907 0.6093 0.2500  1 N 2.07
U 0.6093 0.3907 0.7500  1 N 2.07
N 0.0794 0.9206 0.2500  1 U 2.07
N 0.3454 0.3456 0.4999  2 U 2.37, 2 La 2.63-2.64
N 0.3456 0.3454 0.9999  2 U 2.37, 2 La 2.63-2.64
N 0.6544 0.6546 0.0001  2 U 2.37, 2 La 2.63-2.64
N 0.6546 0.6544 0.5001  2 U 2.37, 2 La 2.63-2.64
N 0.9206 0.0794 0.7500  1 U 2.07

Output
symmetry	C2/c
ΔE_f (raw)	-1147	meV per atom

No. 5
Compound: KZr2Os
Source: Alexandria via LeMat-Bulk
Functional: PBE
Structure: relaxed

Cell: 4.1182 4.1182 9.1804 Å, 102.32 102.32 59.47°
With the nearest neighbours (Å) after each atom.
Positions (direct):
K 0.0000 0.0000 0.0000  6 Zr 4.04-4.08, 6 K 4.08-4.12
Zr 0.2082 0.2082 0.6291  3 Os 2.63-2.64
Zr 0.7918 0.7918 0.3709  3 Os 2.63-2.64
Os 0.5000 0.5000 0.5000  6 Zr 2.63-2.64

Output
symmetry	C2/m
total DFT energy (no corrections)	-28.47	eV/f.u.

No. 6
Compound: Zn7RhAu3
Source: Alexandria via LeMat-Bulk
Functional: PBE
Structure: relaxed

Cell: 10.8559 10.8559 11.4839 Å, 90.00 90.00 164.90°
With the nearest neighbours (Å) after each atom.
Positions (direct):
Zn 0.0181 0.9819 0.6260  2 Rh 2.58, 2 Au 2.71, 3 Zn 2.85
Zn 0.0181 0.9819 0.8740  2 Rh 2.58, 2 Au 2.71, 3 Zn 2.85
Zn 0.1309 0.8691 0.2500  5 Au 2.75-2.85, 6 Zn 2.85-3.02
Zn 0.1546 0.8454 0.6014  2 Rh 2.59, 4 Zn 2.75-2.85, 4 Au 2.82-2.84
Zn 0.1546 0.8454 0.8986  2 Rh 2.59, 4 Zn 2.75-2.85, 4 Au 2.82-2.84
Zn 0.2890 0.7110 0.5738  3 Au 2.72-2.73, 9 Zn 2.75-3.02
Zn 0.2890 0.7110 0.9262  3 Au 2.72-2.73, 9 Zn 2.75-3.02
Zn 0.7110 0.2890 0.0738  3 Au 2.72-2.73, 9 Zn 2.75-3.02
Zn 0.7110 0.2890 0.4262  3 Au 2.72-2.73, 9 Zn 2.75-3.02
Zn 0.8454 0.1546 0.1014  2 Rh 2.59, 4 Zn 2.75-2.85, 4 Au 2.82-2.84
Zn 0.8454 0.1546 0.3986  2 Rh 2.59, 4 Zn 2.75-2.85, 4 Au 2.82-2.84
Zn 0.8691 0.1309 0.7500  5 Au 2.75-2.85, 6 Zn 2.85-3.02
Zn 0.9819 0.0181 0.1260  2 Rh 2.58, 2 Au 2.71, 3 Zn 2.85
Zn 0.9819 0.0181 0.3740  2 Rh 2.58, 2 Au 2.71, 3 Zn 2.85
Rh 0.4072 0.5928 0.2500  8 Zn 2.58-2.59, 2 Rh 2.85
Rh 0.5928 0.4072 0.7500  8 Zn 2.58-2.59, 2 Rh 2.85
Au 0.2635 0.7365 0.2500  9 Zn 2.72-2.85, 2 Au 2.85
Au 0.4159 0.5841 0.5645  9 Zn 2.71-2.97, 2 Au 2.85
Au 0.4159 0.5841 0.9355  9 Zn 2.71-2.97, 2 Au 2.85
Au 0.5841 0.4159 0.0645  9 Zn 2.71-2.97, 2 Au 2.85
Au 0.5841 0.4159 0.4355  9 Zn 2.71-2.97, 2 Au 2.85
Au 0.7365 0.2635 0.7500  9 Zn 2.72-2.85, 2 Au 2.85

Output
symmetry	Cmcm
total DFT energy (no corrections)	-28.27	eV/f.u.

Result set for total magnetic moment: 0.000, 0.000, 0.000, 0.480, 0.000, 0.000 μB per atom, one per record in the order listed.